No. 1
PmMg15Tl4: relaxed, PBE-GGA.

Energy of formation from the pure elements = -0.038 eV per atom

Cell lengths 4.8185, 4.8185, 20.5790 Å; angles 90.00, 90.00, 90.00 degrees
Last column: nearest neighbours and their distance in Å.
Space group P4/mmm (No. 123)
Symmetry-distinct sites (fractional):
Pm 0.0000 0.0000 0.0000 [1 per cell]  12 Mg 3.28-3.41
Mg 0.0000 0.5000 0.1080 [4 per cell]  2 Tl 3.12, 8 Mg 3.19-3.41, 2 Pm 3.28
Mg 0.0000 0.5000 0.3047 [4 per cell]  8 Mg 3.11-3.41, 4 Tl 3.16-3.17
Mg 0.0000 0.5000 0.5000 [2 per cell]  4 Tl 3.12, 8 Mg 3.16-3.41
Mg 0.5000 0.5000 0.0000 [1 per cell]  8 Mg 3.28, 4 Pm 3.41
Mg 0.5000 0.5000 0.2095 [2 per cell]  8 Mg 3.11-3.19, 4 Tl 3.41
Mg 0.5000 0.5000 0.4010 [2 per cell]  8 Mg 3.12-3.16, 4 Tl 3.41
Tl 0.0000 0.0000 0.2047 [2 per cell]  12 Mg 3.12-3.41
Tl 0.0000 0.0000 0.4038 [2 per cell]  12 Mg 3.12-3.41

---

No. 2
HoNiS: relaxed, PBE-GGA.

Raw formation energy = -0.803 eV/atom

Cell lengths 3.6272, 3.6272, 9.7800 Å; angles 90.00, 90.00, 120.00 degrees
Last column: nearest neighbours and their distance in Å.
Space group P-6m2 (No. 187)
Symmetry-distinct sites (fractional):
Ho 0.0000 0.0000 0.1960 [2 per cell]  3 Ni 2.77, 4 S 2.84-2.97
Ni 0.3333 0.6667 0.3807 [2 per cell]  1 Ni 2.33, 3 S 2.40
S 0.0000 0.0000 0.5000 [1 per cell]  6 Ni 2.40
S 0.3333 0.6667 0.0000 [1 per cell]  6 Ho 2.84

---

No. 3
BeAg3As: relaxed, PBE-GGA.

Energy of formation from the pure elements = 0.456 eV per atom
Relative energy among the computed polymorphs = 0.000 eV per atom

Cell lengths 4.4751, 4.4751, 4.4751 Å; angles 90.00, 90.00, 90.00 degrees
Last column: nearest neighbours and their distance in Å.
Space group Pm-3m (No. 221)
Symmetry-distinct sites (fractional):
Be 0.0000 0.0000 0.0000 [1 per cell]  6 Ag 2.24
Ag 0.0000 0.0000 0.5000 [3 per cell]  2 Be 2.24
As 0.5000 0.5000 0.5000 [1 per cell]  12 Ag 3.16

---

No. 4
V3PtCl: relaxed, PBE-GGA.

Raw formation energy = 0.354 eV/atom
Relative energy among the computed polymorphs = 0.000 eV per atom

Cell lengths 4.2475, 4.2475, 4.2475 Å; angles 90.00, 90.00, 90.00 degrees
Last column: nearest neighbours and their distance in Å.
Space group Pm-3m (No. 221)
Symmetry-distinct sites (fractional):
V 0.0000 0.0000 0.5000 [3 per cell]  2 Cl 2.12
Pt 0.5000 0.5000 0.5000 [1 per cell]  12 V 3.00
Cl 0.0000 0.0000 0.0000 [1 per cell]  6 V 2.12

---

No. 5
CeHoAsS: relaxed, PBE-GGA.

Raw formation energy = -1.637 eV/atom

Cell lengths 3.9753, 3.9753, 21.3730 Å; angles 90.00, 90.00, 120.00 degrees
Last column: nearest neighbours and their distance in Å.
Space group R3m (No. 160, hexagonal axes)
Symmetry-distinct sites (fractional):
Ce 0.0000 0.0000 0.0000 [3 per cell]  3 As 2.93, 3 S 3.02
Ho 0.0000 0.0000 0.1714 [3 per cell]  3 As 2.82, 3 S 2.86
As 0.0000 0.0000 0.5811 [3 per cell]  3 Ho 2.82, 3 Ce 2.93
S 0.0000 0.0000 0.7584 [3 per cell]  3 Ho 2.86, 3 Ce 3.02

---

No. 6
Nd5B2N5: relaxed, PBE-GGA.

Raw formation energy = -0.779 eV/atom

Cell lengths 13.1277, 3.5525, 9.5043 Å; angles 90.00, 112.69, 90.00 degrees
Last column: nearest neighbours and their distance in Å.
Space group C2/m (No. 12)
Symmetry-distinct sites (fractional):
Nd 0.0000 0.0000 0.0000 [2 per cell]  4 N 2.61, 4 B 2.72
Nd 0.1078 0.0000 0.4341 [4 per cell]  3 N 2.41-2.50
Nd 0.2260 0.0000 0.8124 [4 per cell]  3 N 2.33-2.44
B 0.0314 0.5000 0.8039 [4 per cell]  1 N 1.37
N 0.0000 0.5000 0.5000 [2 per cell]  4 Nd 2.50, 2 B 2.76
N 0.1221 0.5000 0.9382 [4 per cell]  1 B 1.37
N 0.2478 0.0000 0.3292 [4 per cell]  3 Nd 2.33-2.41

---

No. 7
Pr2DyEr4Th: relaxed, PBE-GGA.

Energy of formation from the pure elements = 0.035 eV per atom

Cell lengths 5.0843, 5.0997, 9.9454 Å; angles 90.00, 90.00, 90.00 degrees
Last column: nearest neighbours and their distance in Å.
Space group Pmmm (No. 47)
Symmetry-distinct sites (fractional):
Pr 0.0000 0.0000 0.0000 [1 per cell]  8 Er 3.53-3.54, 4 Th 3.60
Pr 0.5000 0.5000 0.5000 [1 per cell]  8 Er 3.58, 4 Dy 3.60
Dy 0.0000 0.0000 0.5000 [1 per cell]  8 Er 3.58, 4 Pr 3.60
Er 0.0000 0.5000 0.2469 [2 per cell]  2 Th 3.53, 4 Pr 3.54-3.58, 2 Dy 3.58, 4 Er 3.60
Er 0.5000 0.0000 0.2468 [2 per cell]  4 Pr 3.53-3.58, 2 Th 3.54, 2 Dy 3.58, 4 Er 3.60
Th 0.5000 0.5000 0.0000 [1 per cell]  8 Er 3.53-3.54, 4 Pr 3.60

---

No. 8
CuSi2NiHg: relaxed, PBE-GGA.

Raw formation energy = 1.517 eV/atom

Cell lengths 4.9075, 4.9075, 4.7661 Å; angles 90.00, 90.00, 90.00 degrees
Last column: nearest neighbours and their distance in Å.
Space group P4/mmm (No. 123)
Symmetry-distinct sites (fractional):
Cu 0.0000 0.0000 0.0000 [1 per cell]  2 Hg 2.38
Si 0.0000 0.5000 0.5000 [2 per cell]  2 Hg 2.45
Ni 0.5000 0.5000 0.0000 [1 per cell]  8 Si 3.42, 4 Cu 3.47
Hg 0.0000 0.0000 0.5000 [1 per cell]  2 Cu 2.38, 4 Si 2.45

---

No. 9
CaSmTm2: relaxed, PBE-GGA.

Energy of formation from the pure elements = 0.139 eV per atom
Relative energy among the computed polymorphs = 0.066 eV per atom

Cell lengths 5.0646, 5.0646, 5.1320 Å; angles 90.00, 90.00, 90.00 degrees
Last column: nearest neighbours and their distance in Å.
Space group P4/mmm (No. 123)
Symmetry-distinct sites (fractional):
Ca 0.0000 0.0000 0.0000 [1 per cell]  4 Sm 3.58, 8 Tm 3.61
Sm 0.5000 0.5000 0.0000 [1 per cell]  4 Ca 3.58, 8 Tm 3.61
Tm 0.0000 0.5000 0.5000 [2 per cell]  4 Tm 3.58, 4 Ca 3.61, 4 Sm 3.61

---

No. 10
Li5GaAu3: relaxed, PBE-GGA.

Energy of formation from the pure elements = -0.437 eV per atom

Cell lengths 7.8200, 7.8200, 5.3529 Å; angles 90.00, 90.00, 120.00 degrees
Last column: nearest neighbours and their distance in Å.
Space group P6_3/mcm (No. 193)
Symmetry-distinct sites (fractional):
Li 0.0000 0.3387 0.2500 [6 per cell]  5 Au 2.58-2.68
Li 0.3333 0.6667 0.0000 [4 per cell]  8 Li 2.68-2.91, 6 Au 2.94
Ga 0.0000 0.0000 0.0000 [2 per cell]  2 Ga 2.68, 6 Au 2.91, 6 Li 2.97
Au 0.0000 0.3308 0.7500 [6 per cell]  5 Li 2.58-2.68

---

No. 11
RbEr6S8: relaxed, PBE-GGA.

Raw formation energy = -1.819 eV/atom

Cell lengths 11.1561, 11.1561, 12.6109 Å; angles 90.00, 90.00, 120.00 degrees
Last column: nearest neighbours and their distance in Å.
Space group R-3 (No. 148, hexagonal axes)
Symmetry-distinct sites (fractional):
Rb 0.0000 0.0000 0.0000 [3 per cell]  2 S 3.20
Er 0.0006 0.8140 0.3824 [18 per cell]  5 S 2.63-2.78
S 0.0000 0.0000 0.2541 [6 per cell]  3 Er 2.63
S 0.0062 0.7280 0.5851 [18 per cell]  4 Er 2.66-2.78

---

No. 12
RbBaHf2Mo: relaxed, PBE-GGA.

Energy of formation from the pure elements = 2.557 eV per atom

Cell lengths 5.2317, 5.2317, 5.7385 Å; angles 90.00, 90.00, 90.00 degrees
Last column: nearest neighbours and their distance in Å.
Space group P4/mmm (No. 123)
Symmetry-distinct sites (fractional):
Rb 0.0000 0.0000 0.0000 [1 per cell]  4 Hf 2.62, 2 Ba 2.87
Ba 0.0000 0.0000 0.5000 [1 per cell]  2 Rb 2.87
Hf 0.0000 0.5000 0.0000 [2 per cell]  2 Rb 2.62
Mo 0.5000 0.5000 0.5000 [1 per cell]  4 Ba 3.70, 8 Hf 3.88

---

Number 1: total energy -0.1429 Ry/atom. Number 2: total energy -0.4140 Ry/atom. Number 3: total energy -0.2153 Ry/atom. Number 4: total energy -0.4920 Ry/atom. Number 5: total energy -0.4747 Ry/atom. Number 6: total energy -0.5400 Ry/atom. Number 7: total energy -0.3634 Ry/atom. Number 8: total energy -0.1976 Ry/atom. Number 9: total energy -0.2776 Ry/atom. Number 10: total energy -0.2153 Ry/atom. Number 11: total energy -0.4344 Ry/atom. Number 12: total energy -0.3064 Ry/atom.